No. 1
Y2AlNiPb: relaxed, PBE.

Its crystal system is tetragonal. As for the spin magnetization: 0.00 μB/cell. The formation energy from the elements is -1.8 eV per formula unit. The calculation puts the total energy at -5.59 eV per atom. The density of states at the Fermi level is 4.399 states/eV/f.u.

```
data_Y2AlNiPb
_symmetry_space_group_name_H-M 'P 4/m m m'
_symmetry_Int_Tables_number 123
_symmetry_space_group_name_Hall '-P 4 2'
_cell_length_a 5.216
_cell_length_b 5.216
_cell_length_c 4.594
_cell_angle_alpha 90.00
_cell_angle_beta 90.00
_cell_angle_gamma 90.00
loop_
_atom_site_label
_atom_site_type_symbol
_atom_site_fract_x
_atom_site_fract_y
_atom_site_fract_z
_atom_site_occupancy
Y1 Y 0.000 0.500 0.000 1
Al1 Al 0.000 0.000 0.500 1
Ni1 Ni 0.000 0.000 0.000 1
Pb1 Pb 0.500 0.500 0.500 1
```

No. 2
SmZn2AsO2: relaxed, PBE.

Its crystal system is tetragonal. As for the spin magnetization: 0.00 μB/cell. The calculation puts the total energy at -4.17 eV per atom. The density of states at the Fermi level is 1.873 states/eV/f.u.

```
data_SmZn2AsO2
_symmetry_space_group_name_H-M 'P 4/m m m'
_symmetry_Int_Tables_number 123
_symmetry_space_group_name_Hall '-P 4 2'
_cell_length_a 3.561
_cell_length_b 3.561
_cell_length_c 12.390
_cell_angle_alpha 90.00
_cell_angle_beta 90.00
_cell_angle_gamma 90.00
loop_
_atom_site_label
_atom_site_type_symbol
_atom_site_fract_x
_atom_site_fract_y
_atom_site_fract_z
_atom_site_occupancy
Sm1 Sm 0.000 0.000 0.000 1
Zn1 Zn 0.000 0.000 0.314 1
As1 As 0.000 0.000 0.500 1
O1 O 0.000 0.000 0.172 1
```

No. 3
MgSi6Ni6: relaxed, PBE.

Its crystal system is hexagonal. As for the spin magnetization: 0.00 μB/cell. The offset from the most stable computed form comes out at 4.29 kcal/mol of atoms. The calculation puts the total energy at -5.53 eV per atom. The density of states at the Fermi level is 4.524 states/eV/f.u.

```
data_MgSi6Ni6
_symmetry_space_group_name_H-M 'P 6/m m m'
_symmetry_Int_Tables_number 191
_symmetry_space_group_name_Hall '-P 6 2'
_cell_length_a 4.8642
_cell_length_b 4.8642
_cell_length_c 7.8167
_cell_angle_alpha 90.00
_cell_angle_beta 90.00
_cell_angle_gamma 120.00
loop_
_atom_site_label
_atom_site_type_symbol
_atom_site_fract_x
_atom_site_fract_y
_atom_site_fract_z
_atom_site_occupancy
Mg1 Mg 0.0000 0.0000 0.0000 1
Si1 Si 0.0000 0.5000 0.2490 1
Ni1 Ni 0.0000 0.0000 0.3338 1
Ni2 Ni 0.3333 0.6667 0.0000 1
Ni3 Ni 0.3333 0.6667 0.5000 1
```

No. 4
CuPtAu4: relaxed, PBE.

Its crystal system is monoclinic. As for the spin magnetization: 0.00 μB/cell. The formation energy from the elements is 0.7 eV per formula unit. The offset from the most stable computed form comes out at 0.00 kcal/mol of atoms. The calculation puts the total energy at -3.76 eV per atom. The density of states at the Fermi level is 2.375 states/eV/f.u.

```
data_CuPtAu4
_symmetry_space_group_name_H-M 'C 1 2/c 1'
_symmetry_Int_Tables_number 15
_symmetry_space_group_name_Hall '-C 2yc'
_cell_length_a 15.318
_cell_length_b 5.644
_cell_length_c 4.829
_cell_angle_alpha 90.00
_cell_angle_beta 93.66
_cell_angle_gamma 90.00
loop_
_atom_site_label
_atom_site_type_symbol
_atom_site_fract_x
_atom_site_fract_y
_atom_site_fract_z
_atom_site_occupancy
Cu1 Cu 0.000 0.031 0.250 1
Pt1 Pt 0.250 0.250 0.000 1
Au1 Au 0.076 0.364 0.956 1
Au2 Au 0.157 0.171 0.479 1
```

Repeat the fourth record exactly.
CuPtAu4: relaxed, PBE.

Its crystal system is monoclinic. As for the spin magnetization: 0.00 μB/cell. The formation energy from the elements is 0.7 eV per formula unit. The offset from the most stable computed form comes out at 0.00 kcal/mol of atoms. The calculation puts the total energy at -3.76 eV per atom. The density of states at the Fermi level is 2.375 states/eV/f.u.

```
data_CuPtAu4
_symmetry_space_group_name_H-M 'C 1 2/c 1'
_symmetry_Int_Tables_number 15
_symmetry_space_group_name_Hall '-C 2yc'
_cell_length_a 15.318
_cell_length_b 5.644
_cell_length_c 4.829
_cell_angle_alpha 90.00
_cell_angle_beta 93.66
_cell_angle_gamma 90.00
loop_
_atom_site_label
_atom_site_type_symbol
_atom_site_fract_x
_atom_site_fract_y
_atom_site_fract_z
_atom_site_occupancy
Cu1 Cu 0.000 0.031 0.250 1
Pt1 Pt 0.250 0.250 0.000 1
Au1 Au 0.076 0.364 0.956 1
Au2 Au 0.157 0.171 0.479 1
```